## CaTm2InAu4 (PBE-GGA)

Data for a relaxed structure of CaTm2InAu4.

Values from the calculation:
- Formation energy: -0.760 eV per atom

Cell lengths 4.9633, 4.9633, 24.6632 Å; angles 90.00, 90.00, 120.00 degrees
Space group R-3m (No. 166, hexagonal axes)
Asymmetric unit:
Ca  0.0000  0.0000  0.0000 (multiplicity 3)
Tm  0.0000  0.0000  0.2455 (multiplicity 6)
In  0.0000  0.0000  0.5000 (multiplicity 3)
Au  0.0000  0.0000  0.1223 (multiplicity 6)
Au  0.0000  0.0000  0.3740 (multiplicity 6)